Below is crystalline MgBeSi2Ni4 at its relaxed geometry, with properties calculated at the PBE level.

- Formation energy without anion corrections: -0.457 eV per atom
- E: -42.95 eV per cell

Cell: 3.9195 3.9195 7.2484 Å, 74.31 74.31 60.00°
Atoms (fractional coordinates):
1 Ni 0.3951 0.3951 0.8146
2 Ni 0.1302 0.1302 0.6095
3 Ni 0.6049 0.6049 0.1854
4 Ni 0.8698 0.8698 0.3905
5 Mg 0.0000 0.0000 0.0000
6 Be 0.5000 0.5000 0.5000
7 Si 0.2459 0.2459 0.2623
8 Si 0.7541 0.7541 0.7377